Entry 1:
# GGA-PBE PrNd3Rh2, relaxed
# Energy of formation from the pure elements   -480 meV/atom
data_PrNd3Rh2
_chemical_formula_sum 'Pr4 Nd12 Rh8'
_cell_length_a 16.869
_cell_length_b 4.278
_cell_length_c 11.802
_cell_angle_alpha 90.00
_cell_angle_beta 120.98
_cell_angle_gamma 90.00
_symmetry_space_group_name_H-M 'C 1 2/m 1'
_symmetry_Int_Tables_number 12
loop_
_symmetry_equiv_pos_as_xyz
'x,y,z'
'-x,-y,-z'
'-x,y,-z'
'x,-y,z'
'x+1/2,y+1/2,z'
'-x+1/2,-y+1/2,-z'
'-x+1/2,y+1/2,-z'
'x+1/2,-y+1/2,z'
loop_
_atom_site_label
_atom_site_type_symbol
_atom_site_fract_x
_atom_site_fract_y
_atom_site_fract_z
_atom_site_occupancy
Pr1 Pr 0.063 0.000 0.188 1
Nd1 Nd 0.063 0.500 0.688 1
Nd2 Nd 0.188 0.000 0.563 1
Nd3 Nd 0.188 0.500 0.061 1
Rh1 Rh 0.125 0.000 0.874 1
Rh2 Rh 0.125 0.500 0.377 1



Entry 2:
# GGA-PBE KTl2I3, relaxed
# Uncorrected formation energy   -5.63 eV per formula unit
data_KTl2I3
_chemical_formula_sum 'K2 Tl4 I6'
_cell_length_a 5.034
_cell_length_b 7.098
_cell_length_c 15.102
_cell_angle_alpha 90.00
_cell_angle_beta 90.00
_cell_angle_gamma 90.00
_symmetry_space_group_name_H-M 'I m m m'
_symmetry_Int_Tables_number 71
_symmetry_space_group_name_Hall '-I 2 2'
loop_
_atom_site_label
_atom_site_type_symbol
_atom_site_fract_x
_atom_site_fract_y
_atom_site_fract_z
_atom_site_occupancy
K1 K 0.000 0.000 0.000 1
Tl1 Tl 0.000 0.000 0.334 1
I1 I 0.000 0.500 0.000 1
I2 I 0.000 0.500 0.333 1



Entry 3:
# GGA-PBE KNa3Co, relaxed
# Energy of formation from the pure elements   1164 meV/atom
data_KNa3Co
_chemical_formula_sum 'K1 Na3 Co1'
_cell_length_a 6.174
_cell_length_b 6.174
_cell_length_c 6.174
_cell_angle_alpha 90.00
_cell_angle_beta 90.00
_cell_angle_gamma 90.00
_symmetry_space_group_name_H-M 'P m -3 m'
_symmetry_Int_Tables_number 221
_symmetry_space_group_name_Hall '-P 4 2 3'
loop_
_atom_site_label
_atom_site_type_symbol
_atom_site_fract_x
_atom_site_fract_y
_atom_site_fract_z
_atom_site_occupancy
K1 K 0.000 0.000 0.000 1
Na1 Na 0.000 0.000 0.500 1
Co1 Co 0.500 0.500 0.500 1